## A
# Pu2Cu2Au

A geometry-optimized Pu2Cu2Au structure (GGA-PBE, Alexandria via LeMat-Bulk).

Summary:
Its symmetry is P4/mbm, No. 127. As for the total magnetic moment: 2.36 μB per atom. The density of states at the Fermi level is 38.7 states/eV per cell.

Cell: 6.932 6.932 4.263 Å, 90.00 90.00 90.00°
Atoms (fractional coordinates):
Pu (0.175, 0.325, 0.000)
Pu (0.325, 0.825, 0.000)
Pu (0.675, 0.175, 0.000)
Pu (0.825, 0.675, 0.000)
Cu (0.125, 0.625, 0.500)
Cu (0.375, 0.125, 0.500)
Cu (0.625, 0.875, 0.500)
Cu (0.875, 0.375, 0.500)
Au (0.000, 0.000, 0.500)
Au (0.500, 0.500, 0.500)



## B
# Pu2Cu2Au

A geometry-optimized Pu2Cu2Au structure (GGA-PBE, Alexandria via LeMat-Bulk).

Summary:
Its symmetry is Immm, No. 71. As for the total magnetic moment: 2.33 μB per atom. The density of states at the Fermi level is 37.6 states/eV per cell.

Cell: 4.439 5.353 8.602 Å, 90.00 90.00 90.00°
Atoms (fractional coordinates):
Pu (0.000, 0.000, 0.198)
Pu (0.000, 0.000, 0.802)
Pu (0.500, 0.500, 0.302)
Pu (0.500, 0.500, 0.698)
Cu (0.000, 0.271, 0.500)
Cu (0.000, 0.729, 0.500)
Cu (0.500, 0.229, 0.000)
Cu (0.500, 0.771, 0.000)
Au (0.000, 0.500, 0.000)
Au (0.500, 0.000, 0.500)



Which one sits at the top of the stability order? B does.



## A
# KBe3

A geometry-optimized KBe3 structure (GGA-PBE, Alexandria via LeMat-Bulk).

Summary:
Its symmetry is Pm-3m, No. 221. As for the total magnetic moment: 0.00 μB per atom. The density of states at the Fermi level is 1.3 states/eV per cell.

Cell: 4.211 4.211 4.211 Å, 90.00 90.00 90.00°
Atoms (fractional coordinates):
K (0.000, 0.000, 0.000)
Be (0.000, 0.500, 0.500)
Be (0.500, 0.000, 0.500)
Be (0.500, 0.500, 0.000)



## B
# KBe3

A geometry-optimized KBe3 structure (GGA-PBE, Alexandria via LeMat-Bulk).

Summary:
Its symmetry is R-3m, No. 166. As for the total magnetic moment: 0.00 μB per atom. The density of states at the Fermi level is 3.0 states/eV per cell.

Cell: 9.806 9.806 2.459 Å, 90.00 90.00 120.00°
Atoms (fractional coordinates):
K (0.000, 0.000, 0.000)
K (0.333, 0.667, 0.667)
K (0.667, 0.333, 0.333)
Be (0.000, 0.500, 0.000)
Be (0.167, 0.333, 0.333)
Be (0.167, 0.833, 0.333)
Be (0.333, 0.167, 0.667)
Be (0.500, 0.000, 0.000)
Be (0.500, 0.500, 0.000)
Be (0.667, 0.833, 0.333)
Be (0.833, 0.167, 0.667)
Be (0.833, 0.667, 0.667)



Which one sits at the top of the stability order? B does.



## A
# Zr4Mn

A geometry-optimized Zr4Mn structure (GGA-PBE, Alexandria via LeMat-Bulk).

Summary:
Its symmetry is I4/m, No. 87. As for the total magnetic moment: 0.00 μB per atom. The density of states at the Fermi level is 11.2 states/eV per cell.

Cell: 7.903 7.903 3.276 Å, 90.00 90.00 90.00°
Atoms (fractional coordinates):
Zr (0.083, 0.269, 0.000)
Zr (0.231, 0.583, 0.500)
Zr (0.269, 0.917, 0.000)
Zr (0.417, 0.231, 0.500)
Zr (0.583, 0.769, 0.500)
Zr (0.731, 0.083, 0.000)
Zr (0.769, 0.417, 0.500)
Zr (0.917, 0.731, 0.000)
Mn (0.000, 0.000, 0.500)
Mn (0.500, 0.500, 0.000)



## B
# Zr4Mn

A geometry-optimized Zr4Mn structure (GGA-PBE, Alexandria via LeMat-Bulk).

Summary:
Its symmetry is Fd-3m, No. 227. As for the total magnetic moment: 0.00 μB per atom. The density of states at the Fermi level is 16.2 states/eV per cell.

Cell: 6.883 6.883 6.883 Å, 60.00 60.00 60.00°
Atoms (fractional coordinates):
Zr (0.206, 0.765, 0.765)
Zr (0.235, 0.235, 0.235)
Zr (0.235, 0.235, 0.794)
Zr (0.235, 0.794, 0.235)
Zr (0.765, 0.206, 0.765)
Zr (0.765, 0.765, 0.206)
Zr (0.765, 0.765, 0.765)
Zr (0.794, 0.235, 0.235)
Mn (0.375, 0.375, 0.375)
Mn (0.625, 0.625, 0.625)



Which one sits at the top of the stability order? A does.



## A
# AgBPt3

A geometry-optimized AgBPt3 structure (GGA-PBE, Alexandria via LeMat-Bulk).

Summary:
Its symmetry is P4mm, No. 99. As for the total magnetic moment: 0.00 μB per atom. The density of states at the Fermi level is 3.3 states/eV per cell.

Cell: 4.020 4.020 6.501 Å, 90.00 90.00 90.00°
Atoms (fractional coordinates):
Ag (0.000, 0.000, 0.000)
B (0.500, 0.500, 0.231)
Pt (0.000, 0.000, 0.595)
Pt (0.000, 0.500, 0.316)
Pt (0.500, 0.000, 0.316)



## B
# AgBPt3

A geometry-optimized AgBPt3 structure (GGA-PBE, Alexandria via LeMat-Bulk).

Summary:
Its symmetry is P6_3/mmc, No. 194. As for the total magnetic moment: 0.00 μB per atom. The density of states at the Fermi level is 3.8 states/eV per cell.

Cell: 4.433 4.433 8.506 Å, 90.00 90.00 120.00°
Atoms (fractional coordinates):
Ag (0.333, 0.667, 0.250)
Ag (0.667, 0.333, 0.750)
B (0.000, 0.000, 0.000)
B (0.000, 0.000, 0.500)
Pt (0.000, 0.000, 0.250)
Pt (0.000, 0.000, 0.750)
Pt (0.333, 0.667, 0.573)
Pt (0.333, 0.667, 0.927)
Pt (0.667, 0.333, 0.073)
Pt (0.667, 0.333, 0.427)



Which one sits at the top of the stability order? B does.